A relaxed Cs4MnO4 crystal, computed with PBE+U.

Unit cell a=8.296 b=8.296 c=6.641 alpha=90.00 beta=90.00 gamma=90.00
Space group P4_2/nmc (No. 137, origin choice 2)
Symmetry-distinct sites (fractional):
Cs (0.030, 0.250, 0.114) x8
Mn (0.250, 0.750, 0.250) x2
O (0.082, 0.750, 0.429) x8

raw total energy	-4.696	eV per atom
ρ	4.73	g cm⁻³